## BeAl2Si (PBE-GGA)

Data for crystalline BeAl2Si at its relaxed geometry.

raw total energy = -3.957 eV/atom
energy relative to the elements, uncorrected = 0.201 eV/atom

Cell: 4.602 4.602 2.784 Å, 90.00 90.00 109.80°
Atoms (fractional coordinates):
Be 0.500 0.000 0.500
Si 0.000 0.500 0.500
Al 0.000 0.000 0.000
Al 0.500 0.500 0.000